a) The following is a GGA-PBEsol calculation of an optimized crystal structure of BeSe2Cl, from the Alexandria database.

magnetic moment: 0.000 μB per formula unit

Geometry as CIF:
```
data_BeSe2Cl
_chemical_formula_sum 'Be2 Se4 Cl2'
_cell_length_a 11.086
_cell_length_b 3.096
_cell_length_c 5.320
_cell_angle_alpha 90.00
_cell_angle_beta 106.77
_cell_angle_gamma 90.00
_space_group_name_H-M_alt 'C 1 m 1'
_space_group_IT_number 8
loop_
_space_group_symop_operation_xyz
'x,y,z'
'x,-y,z'
'x+1/2,y+1/2,z'
'x+1/2,-y+1/2,z'
loop_
_atom_site_label
_atom_site_type_symbol
_atom_site_fract_x
_atom_site_fract_y
_atom_site_fract_z
_atom_site_occupancy
Be1 Be 0.000 0.000 0.000 1
Se1 Se 0.065 0.500 0.380 1
Se2 Se 0.184 0.500 0.093 1
Cl1 Cl 0.387 0.000 0.777 1
```

***

b) The following is a GGA-PBEsol calculation of an optimized crystal structure of BeSe2Cl, from the Alexandria database.

magnetic moment: 0.000 μB per formula unit

Geometry as CIF:
```
data_BeSe2Cl
_chemical_formula_sum 'Be2 Se4 Cl2'
_cell_length_a 3.158
_cell_length_b 6.811
_cell_length_c 8.233
_cell_angle_alpha 90.00
_cell_angle_beta 90.00
_cell_angle_gamma 90.00
_space_group_name_H-M_alt 'C m m 2'
_space_group_IT_number 35
loop_
_space_group_symop_operation_xyz
'x,y,z'
'-x,-y,z'
'-x,y,z'
'x,-y,z'
'x+1/2,y+1/2,z'
'-x+1/2,-y+1/2,z'
'-x+1/2,y+1/2,z'
'x+1/2,-y+1/2,z'
loop_
_atom_site_label
_atom_site_type_symbol
_atom_site_fract_x
_atom_site_fract_y
_atom_site_fract_z
_atom_site_occupancy
Be1 Be 0.000 0.000 0.000 1
Se1 Se 0.000 0.000 0.562 1
Se2 Se 0.000 0.500 0.793 1
Cl1 Cl 0.000 0.500 0.160 1
```

***

Of them, a) has the highest stability.